No. 1
PaVPd: relaxed, PBE. Values from VASP.

Summary:
Polymorph energy (0 for the lowest one) in eV per atom: 0.1791
Spin magnetization in μB/cell: 0.5

Quantum ESPRESSO input file:
```
&SYSTEM
  ibrav = 0, nat = 3, ntyp = 3
/
ATOMIC_SPECIES
Pa 231.04 Pa.upf
V 50.94 V.upf
Pd 106.42 Pd.upf
ATOMIC_POSITIONS crystal
Pa 0.000 0.000 0.000
V 0.667 0.333 0.995
Pd 0.333 0.667 0.497
CELL_PARAMETERS angstrom
4.534 0.000 0.000
-2.267 3.926 0.000
0.000 0.000 2.988
```

***

No. 2
PaVPd6: relaxed, PBE. Values from VASP.

Summary:
Spin magnetization in μB/cell: 0.1

Quantum ESPRESSO input file:
```
&SYSTEM
  ibrav = 0, nat = 8, ntyp = 3
/
ATOMIC_SPECIES
Pa 231.04 Pa.upf
V 50.94 V.upf
Pd 106.42 Pd.upf
ATOMIC_POSITIONS crystal
Pa 0.000 0.000 0.000
V 0.000 0.000 0.500
Pd 0.087 0.608 0.262
Pd 0.392 0.913 0.738
Pd 0.453 0.453 0.743
Pd 0.547 0.547 0.257
Pd 0.608 0.087 0.262
Pd 0.913 0.392 0.738
CELL_PARAMETERS angstrom
2.692 -4.701 0.000
2.692 4.701 0.000
-0.409 0.000 5.366
```

***

No. 3
Pa2PdW: relaxed, PBE. Values from VASP.

Summary:
Polymorph energy (0 for the lowest one) in eV per atom: 0.2725
Spin magnetization in μB/cell: 0.0

Quantum ESPRESSO input file:
```
&SYSTEM
  ibrav = 0, nat = 4, ntyp = 3
/
ATOMIC_SPECIES
Pa 231.04 Pa.upf
Pd 106.42 Pd.upf
W 183.84 W.upf
ATOMIC_POSITIONS crystal
Pa 0.086 0.086 0.086
Pa 0.914 0.914 0.914
Pd 0.000 0.000 0.000
W 0.500 0.500 0.500
CELL_PARAMETERS angstrom
1.513 0.873 10.522
-1.513 0.873 10.522
0.000 -1.747 10.522
```

***

No. 4
Pa2PdW: relaxed, PBE. Values from VASP.

Summary:
Polymorph energy (0 for the lowest one) in eV per atom: 0.0000
Spin magnetization in μB/cell: 0.0

Quantum ESPRESSO input file:
```
&SYSTEM
  ibrav = 0, nat = 4, ntyp = 3
/
ATOMIC_SPECIES
Pa 231.04 Pa.upf
Pd 106.42 Pd.upf
W 183.84 W.upf
ATOMIC_POSITIONS crystal
Pa 0.000 0.000 0.239
Pa 0.000 0.000 0.761
Pd 0.500 0.500 0.500
W 0.500 0.500 0.000
CELL_PARAMETERS angstrom
3.438 0.000 0.000
0.000 3.438 0.000
0.000 0.000 7.277
```

***

Number 1: theoretical density 12127 kg/m³, electronic total energy -0.2891 hartree per atom, energy of formation from the pure elements 0.070 eV per atom. Number 2: theoretical density 11252 kg/m³, electronic total energy -0.2365 hartree per atom, energy of formation from the pure elements -0.214 eV per atom. Number 3: theoretical density 14977 kg/m³, electronic total energy -0.3321 hartree per atom, energy of formation from the pure elements 0.249 eV per atom. Number 4: theoretical density 14524 kg/m³, electronic total energy -0.3421 hartree per atom, energy of formation from the pure elements -0.024 eV per atom.